1.
First-principles (PBE-GGA) data for a relaxed ScCo3Hg crystal, as listed in the Alexandria database.

POSCAR file:
```
ScCo3Hg
1.0
4.724 0.000 0.000
0.000 4.724 0.000
0.000 0.000 4.724
Sc Co Hg
1 3 1
direct
0.000 0.000 0.000
0.000 0.500 0.500
0.500 0.000 0.500
0.500 0.500 0.000
0.500 0.500 0.500
```

- energy relative to the lowest polymorph listed for this composition (meV/atom) = 67

2.
First-principles (PBE-GGA) data for a relaxed Sc6Co2Hg crystal, as listed in the Alexandria database.

POSCAR file:
```
Sc6Co2Hg
1.0
-4.367 4.420 4.664
4.367 -4.420 4.664
4.367 4.420 -4.664
Sc Co Hg
12 4 2
direct
0.022 0.235 0.787
0.191 0.286 0.477
0.191 0.714 0.905
0.315 0.017 0.702
0.315 0.612 0.298
0.447 0.235 0.213
0.553 0.765 0.787
0.685 0.388 0.702
0.685 0.983 0.298
0.809 0.286 0.095
0.809 0.714 0.523
0.978 0.765 0.213
0.119 0.619 0.500
0.370 0.000 0.370
0.630 0.000 0.630
0.881 0.381 0.500
0.000 0.000 0.000
0.500 0.500 0.000
```

3.
First-principles (PBE-GGA) data for a relaxed ScCoHg3 crystal, as listed in the Alexandria database.

POSCAR file:
```
ScCoHg3
1.0
4.906 0.000 0.000
0.000 4.906 0.000
0.000 0.000 4.906
Sc Co Hg
1 1 3
direct
0.000 0.000 0.000
0.500 0.500 0.500
0.000 0.500 0.500
0.500 0.000 0.500
0.500 0.500 0.000
```

- energy relative to the lowest polymorph listed for this composition (meV/atom) = 0

4.
First-principles (PBE-GGA) data for a relaxed Sc12Co6Hg crystal, as listed in the Alexandria database.

POSCAR file:
```
Sc12Co6Hg
1.0
-4.482 4.482 4.482
4.482 -4.482 4.482
4.482 4.482 -4.482
Sc Co Hg
12 6 1
direct
0.099 0.296 0.803
0.197 0.492 0.296
0.197 0.901 0.704
0.296 0.197 0.492
0.296 0.803 0.099
0.492 0.296 0.197
0.508 0.704 0.803
0.704 0.197 0.901
0.704 0.803 0.508
0.803 0.099 0.296
0.803 0.508 0.704
0.901 0.704 0.197
0.120 0.500 0.620
0.380 0.880 0.500
0.500 0.380 0.880
0.500 0.620 0.120
0.620 0.120 0.500
0.880 0.500 0.380
0.000 0.000 0.000
```

5.
First-principles (PBE-GGA) data for a relaxed Sc11Co4Hg9 crystal, as listed in the Alexandria database.

POSCAR file:
```
Sc11Co4Hg9
1.0
6.859 -10.240 0.000
6.859 10.240 0.000
0.000 0.000 3.345
Sc Co Hg
11 4 9
direct
0.000 0.000 0.000
0.091 0.421 0.000
0.161 0.839 0.000
0.305 0.305 0.000
0.367 0.633 0.000
0.421 0.091 0.000
0.579 0.909 0.000
0.633 0.367 0.000
0.695 0.695 0.000
0.839 0.161 0.000
0.909 0.579 0.000
0.259 0.455 0.500
0.455 0.259 0.500
0.545 0.741 0.500
0.741 0.545 0.500
0.070 0.218 0.500
0.147 0.632 0.500
0.218 0.070 0.500
0.368 0.853 0.500
0.500 0.500 0.500
0.632 0.147 0.500
0.782 0.930 0.500
0.853 0.368 0.500
0.930 0.782 0.500
```

6.
First-principles (PBE-GGA) data for a relaxed ScCo3Hg crystal, as listed in the Alexandria database.

POSCAR file:
```
ScCo3Hg
1.0
4.429 0.000 0.000
0.000 4.429 0.000
0.000 0.000 4.429
Sc Co Hg
1 3 1
direct
0.000 0.000 0.000
0.000 0.000 0.500
0.000 0.500 0.000
0.500 0.000 0.000
0.500 0.500 0.500
```

- energy relative to the lowest polymorph listed for this composition (meV/atom) = 0

7.
First-principles (PBE-GGA) data for a relaxed ScCoHg crystal, as listed in the Alexandria database.

POSCAR file:
```
ScCoHg
1.0
3.258 0.000 0.000
-1.629 2.822 0.000
0.000 0.000 6.128
Sc Co Hg
1 1 1
direct
0.000 0.000 0.000
0.667 0.333 0.276
0.333 0.667 0.602
```

8.
First-principles (PBE-GGA) data for a relaxed Sc2TlCoHg crystal, as listed in the Alexandria database.

POSCAR file:
```
Sc2TlCoHg
1.0
5.264 0.000 0.000
0.000 5.264 0.000
0.000 0.000 4.787
Sc Tl Co Hg
2 1 1 1
direct
0.000 0.500 0.000
0.500 0.000 0.000
0.000 0.000 0.500
0.500 0.500 0.500
0.500 0.500 0.000
```

Number 1: E_form 1.29 eV/atom, density 6.65 Mg/m³. Number 2: E_form -0.31 eV/atom, density 5.42 Mg/m³. Number 3: E_form 0.36 eV/atom, density 9.92 Mg/m³. Number 4: E_form -0.29 eV/atom, density 5.04 Mg/m³. Number 5: E_form -0.39 eV/atom, density 8.96 Mg/m³. Number 6: E_form 1.22 eV/atom, density 8.07 Mg/m³. Number 7: E_form 0.08 eV/atom, density 8.97 Mg/m³. Number 8: E_form 0.59 eV/atom, density 6.93 Mg/m³.